Computed, not measured: a geometry-optimized NaSc2Cd2 structure at the PBE-GGA level of DFT.

Geometry as POSCAR:
```
NaSc2Cd2
1.0
8.8478 0.0000 0.0000
0.0000 8.8478 0.0000
0.0000 0.0000 3.1807
Sc Cd Na
4 4 2
Cartesian
7.7602 5.5115 0.0000
5.5115 1.0876 0.0000
1.0876 3.3363 0.0000
3.3363 7.7602 0.0000
1.5294 5.9533 1.5903
2.8945 1.5294 1.5903
7.3184 2.8945 1.5903
5.9533 7.3184 1.5903
4.4239 4.4239 0.0000
0.0000 0.0000 0.0000
```

Properties
space-group type: P4/mbm, No. 127
total magnetic moment: 0.12 μB/f.u.
N(E_F): 10.5 states/eV per cell
energy above the lowest structure with this stoichiometry: 12.8 meV/atom
formation energy: -37 meV/atom

Computed, not measured: a geometry-optimized ReOsSeN2 structure at the PBE-GGA level of DFT.

Geometry as POSCAR:
```
ReOsSeN2
1.0
-1.2120 -0.1290 -3.5909
-1.3561 -3.4930 0.5832
-4.8587 2.1473 1.5627
Os N Re Se
1 2 1 1
Cartesian
-3.7134 -0.7373 -0.7225
-0.6781 -1.7465 0.2916
-0.6060 -0.0645 -1.7955
0.0000 0.0000 0.0000
-2.4294 1.0737 0.7814
```

Properties
space-group type: P4/mmm, No. 123
total magnetic moment: 2.52 μB/f.u.
N(E_F): 6.6 states/eV per cell
formation energy (no corrections): 1.269 eV/atom
energy above the lowest structure with this stoichiometry: 0.0 meV/atom

Computed, not measured: a geometry-optimized PmPr structure at the PBE-GGA level of DFT.

Geometry as POSCAR:
```
PmPr
1.0
-2.9589 0.2004 3.6068
1.6363 -0.1201 4.3717
-0.1765 3.8302 2.6650
Pr Pm
1 1
Cartesian
0.0000 0.0000 0.0000
-0.7496 1.9553 5.3218
```

Properties
space-group type: Fm-3m, No. 225
total magnetic moment: 0.25 μB/f.u.
N(E_F): 4.6 states/eV per cell
energy above the lowest structure with this stoichiometry: 608.5 meV/atom
formation energy: 616 meV/atom

Computed, not measured: a geometry-optimized SbRuCl2 structure at the PBE-GGA level of DFT.

Geometry as POSCAR:
```
SbRuCl2
1.0
5.1162 0.0037 -0.0051
3.9969 3.1938 -0.0051
2.6185 0.9188 6.6411
Cl Sb Ru
2 1 1
Cartesian
11.4059 4.0020 5.9279
2.2298 0.7824 2.3934
9.0875 3.1885 4.0141
6.6058 2.3178 4.2416
```

Properties
space-group type: Cm, No. 8
total magnetic moment: 0.00 μB/f.u.
N(E_F): 0.9 states/eV per cell
formation energy (no corrections): -0.108 eV/atom
energy above the lowest structure with this stoichiometry: 68.2 meV/atom